Record 1
DFT (PBE) results for a relaxed structure of SbRhI.

Properties
SG: P2_1/c
Crystal system: monoclinic
Formation energy without anion corrections, eV/atom: -0.2819
Energy, eV/cell: -55.5

Cell lengths 9.1246, 5.2078, 8.0701 Å; angles 90.00, 110.76, 90.00 degrees
Fractional positions:
1 Sb 0.0701 0.1743 0.3804
2 Sb 0.0701 0.3257 0.8804
3 Sb 0.9299 0.6743 0.1196
4 Sb 0.9299 0.8257 0.6196
5 Rh 0.1192 0.6621 0.4549
6 Rh 0.1192 0.8379 0.9549
7 Rh 0.8808 0.1621 0.0451
8 Rh 0.8808 0.3379 0.5451
9 I 0.3379 0.7397 0.2997
10 I 0.3379 0.7603 0.7997
11 I 0.6621 0.2397 0.2003
12 I 0.6621 0.2603 0.7003

=====

Record 2
DFT (PBE) results for a relaxed structure of TbZnCuHg.

Properties
SG: F-43m
Crystal system: cubic
Energy, eV/cell: -11.3
Calculated formation energy, meV/atom: -260

Cell lengths 4.7510, 4.7510, 4.7510 Å; angles 60.00, 60.00, 60.00 degrees
Fractional positions:
1 Tb 0.0000 0.0000 0.0000
2 Zn 0.7500 0.7500 0.7500
3 Cu 0.2500 0.2500 0.2500
4 Hg 0.5000 0.5000 0.5000

=====

Record 3
DFT (PBE) results for a relaxed structure of BaMg2Te2.

Properties
SG: I4/mmm
Crystal system: tetragonal
Formation energy without anion corrections, eV/atom: -0.7191
Energy, eV/cell: -15.0
E above lowest polymorph, kJ/mol of atoms: 0.0

Cell lengths 8.4110, 8.4110, 8.4110 Å; angles 149.15, 149.15, 44.19 degrees
Fractional positions:
1 Ba 0.0000 0.0000 0.0000
2 Mg 0.2500 0.7500 0.5000
3 Mg 0.7500 0.2500 0.5000
4 Te 0.3838 0.3838 0.0000
5 Te 0.6162 0.6162 0.0000

=====

Record 4
DFT (PBE) results for a relaxed structure of CeIn4Ni2.

Properties
SG: Pnma
Crystal system: orthorhombic
Energy, eV/cell: -121.9
Calculated formation energy, meV/atom: -288

Cell lengths 18.1543, 4.4866, 7.0642 Å; angles 90.00, 90.00, 90.00 degrees
Fractional positions:
1 Ce 0.1385 0.2500 0.0285
2 Ce 0.3615 0.7500 0.5285
3 Ce 0.6385 0.2500 0.4715
4 Ce 0.8615 0.7500 0.9715
5 In 0.0328 0.7500 0.8426
6 In 0.0722 0.2500 0.5086
7 In 0.1850 0.7500 0.3295
8 In 0.1955 0.7500 0.7391
9 In 0.3045 0.2500 0.2391
10 In 0.3150 0.2500 0.8295
11 In 0.4278 0.7500 0.0086
12 In 0.4672 0.2500 0.3426
13 In 0.5328 0.7500 0.6574
14 In 0.5722 0.2500 0.9914
15 In 0.6850 0.7500 0.1705
16 In 0.6955 0.7500 0.7609
17 In 0.8045 0.2500 0.2609
18 In 0.8150 0.2500 0.6705
19 In 0.9278 0.7500 0.4914
20 In 0.9672 0.2500 0.1574
21 Ni 0.0418 0.7500 0.2377
22 Ni 0.2192 0.2500 0.5386
23 Ni 0.2808 0.7500 0.0386
24 Ni 0.4582 0.2500 0.7377
25 Ni 0.5418 0.7500 0.2623
26 Ni 0.7192 0.2500 0.9614
27 Ni 0.7808 0.7500 0.4614
28 Ni 0.9582 0.2500 0.7623

=====

Record 5
DFT (PBE) results for a relaxed structure of AcLaCeIn.

Properties
SG: F-43m
Crystal system: cubic
Energy, eV/cell: -17.8
Calculated formation energy, meV/atom: -34

Cell lengths 5.7320, 5.7320, 5.7320 Å; angles 60.00, 60.00, 60.00 degrees
Fractional positions:
1 Ac 0.0000 0.0000 0.0000
2 La 0.7500 0.7500 0.7500
3 Ce 0.2500 0.2500 0.2500
4 In 0.5000 0.5000 0.5000

=====

Record 6
DFT (PBE) results for a relaxed structure of Ca2CdMoPb.

Properties
SG: P4/mmm
Crystal system: tetragonal
Energy, eV/cell: -15.8
Calculated formation energy, meV/atom: 722

Cell lengths 5.9701, 5.9701, 5.3341 Å; angles 90.00, 90.00, 90.00 degrees
Fractional positions:
1 Ca 0.0000 0.5000 0.0000
2 Ca 0.5000 0.0000 0.0000
3 Cd 0.0000 0.0000 0.5000
4 Mo 0.5000 0.5000 0.5000
5 Pb 0.5000 0.5000 0.0000

=====

Record 7
DFT (PBE) results for a relaxed structure of BaCa3Pt.

Properties
SG: Amm2
Crystal system: orthorhombic
Energy, eV/cell: -13.8
Calculated formation energy, meV/atom: 24
E above lowest polymorph, kJ/mol of atoms: 46.9

Cell lengths 4.1577, 10.5486, 10.5486 Å; angles 42.06, 90.00, 90.00 degrees
Fractional positions:
1 Ba 0.0000 0.0000 0.0000
2 Ca 0.0000 0.4363 0.9317
3 Ca 0.0000 0.9317 0.4363
4 Ca 0.5000 0.8151 0.8151
5 Pt 0.5000 0.6745 0.6745

=====

Record 8
DFT (PBE) results for a relaxed structure of ZrNi2As.

Properties
SG: Pnma
Crystal system: orthorhombic
Energy, eV/cell: -218.6
Calculated formation energy, meV/atom: -642

Cell lengths 14.1327, 6.4994, 5.0900 Å; angles 90.00, 90.00, 90.00 degrees
Fractional positions:
1 Zr 0.1024 0.2500 0.2453
2 Zr 0.1416 0.7500 0.4919
3 Zr 0.3584 0.2500 0.9919
4 Zr 0.3976 0.7500 0.7453
5 Zr 0.6024 0.2500 0.2547
6 Zr 0.6416 0.7500 0.0081
7 Zr 0.8584 0.2500 0.5081
8 Zr 0.8976 0.7500 0.7547
9 Ni 0.0322 0.0534 0.7229
10 Ni 0.0322 0.4466 0.7229
11 Ni 0.2183 0.5518 0.9662
12 Ni 0.2183 0.9482 0.9662
13 Ni 0.2817 0.0518 0.4662
14 Ni 0.2817 0.4482 0.4662
15 Ni 0.4678 0.5534 0.2229
16 Ni 0.4678 0.9466 0.2229
17 Ni 0.5322 0.0534 0.7771
18 Ni 0.5322 0.4466 0.7771
19 Ni 0.7183 0.5518 0.5338
20 Ni 0.7183 0.9482 0.5338
21 Ni 0.7817 0.0518 0.0338
22 Ni 0.7817 0.4482 0.0338
23 Ni 0.9678 0.5534 0.2771
24 Ni 0.9678 0.9466 0.2771
25 As 0.0726 0.7500 0.9960
26 As 0.1790 0.2500 0.7339
27 As 0.3210 0.7500 0.2339
28 As 0.4274 0.2500 0.4960
29 As 0.5726 0.7500 0.5040
30 As 0.6790 0.2500 0.7661
31 As 0.8210 0.7500 0.2661
32 As 0.9274 0.2500 0.0040

=====

| no. | total magnetization (μB per atom) |
| --- | --- |
| 1 | 0.000 |
| 2 | 0.000 |
| 3 | 0.000 |
| 4 | 0.076 |
| 5 | 0.420 |
| 6 | 0.695 |
| 7 | 0.000 |
| 8 | 0.000 |